[1]
First-principles (PBE-GGA) data for crystalline BaHo2Pu at its relaxed geometry, as listed in Alexandria.

Unit cell a=3.556 b=3.556 c=12.822 alpha=82.03 beta=82.03 gamma=60.00
Site moments in Bohr magnetons follow the coordinates.
Atoms (fractional coordinates):
Ba1 0.000 0.000 0.000  0.06
Ho1 0.095 0.095 0.715  -0.16
Ho2 0.905 0.905 0.285  -0.16
Pu1 0.500 0.500 0.500  -5.53

* magnetization: 6.25 μB per cell
* energy of formation: 7.38 kcal/mol of atoms
* space group: R-3m


[2]
First-principles (PBE-GGA) data for crystalline Tl2ZnPb at its relaxed geometry, as listed in Alexandria.

Unit cell a=3.666 b=5.419 c=5.627 alpha=90.00 beta=90.00 gamma=90.00
Atoms (fractional coordinates):
Pb1 0.000 0.500 0.500
Tl1 0.000 0.000 0.000
Tl2 0.500 0.500 0.000
Zn1 0.500 0.000 0.500

* magnetization: 0.00 μB per cell
* energy of formation: 2.90 kcal/mol of atoms
* space group: Pmmm
* offset from the most stable computed form: 0.97 kcal/mol of atoms


[3]
First-principles (PBE-GGA) data for crystalline ErGaOs2C at its relaxed geometry, as listed in Alexandria.

Unit cell a=3.961 b=5.853 c=7.312 alpha=90.00 beta=90.00 gamma=109.78
Atoms (fractional coordinates):
Er1 0.454 0.907 0.750
Er2 0.546 0.093 0.250
Ga1 0.734 0.469 0.750
Ga2 0.266 0.531 0.250
Os1 0.165 0.331 0.939
Os2 0.835 0.669 0.061
Os3 0.165 0.331 0.561
Os4 0.835 0.669 0.439
C1 0.000 0.000 0.000
C2 0.000 0.000 0.500

* magnetization: 0.00 μB per cell
* energy of formation: -5.59 kcal/mol of atoms
* space group: Cmcm


[4]
First-principles (PBE-GGA) data for crystalline KInGe at its relaxed geometry, as listed in Alexandria.

Unit cell a=4.935 b=4.935 c=7.914 alpha=90.00 beta=90.00 gamma=120.00
Atoms (fractional coordinates):
Ge1 0.333 0.667 0.447
Ge2 0.667 0.333 0.947
K1 0.000 0.000 0.757
K2 0.000 0.000 0.257
In1 0.333 0.667 0.046
In2 0.667 0.333 0.546

* magnetization: 0.00 μB per cell
* energy of formation: -0.71 kcal/mol of atoms
* space group: P6_3mc


[5]
First-principles (PBE-GGA) data for crystalline TlHgGe3 at its relaxed geometry, as listed in Alexandria.

Unit cell a=5.301 b=5.301 c=5.301 alpha=90.00 beta=90.00 gamma=90.00
Atoms (fractional coordinates):
Tl1 0.500 0.500 0.500
Ge1 0.000 0.500 0.000
Ge2 0.000 0.000 0.500
Ge3 0.500 0.000 0.000
Hg1 0.000 0.000 0.000

* magnetization: 0.00 μB per cell
* energy of formation: 17.42 kcal/mol of atoms
* space group: Pm-3m
* offset from the most stable computed form: 0.00 kcal/mol of atoms


[6]
First-principles (PBE-GGA) data for crystalline SnN at its relaxed geometry, as listed in Alexandria.

Unit cell a=10.556 b=3.414 c=5.845 alpha=90.00 beta=90.00 gamma=90.00
Atoms (fractional coordinates):
Sn1 0.822 0.254 0.283
Sn2 0.678 0.746 0.783
Sn3 0.178 0.254 0.283
Sn4 0.322 0.746 0.783
Sn5 0.000 0.214 0.762
Sn6 0.500 0.786 0.262
N1 0.763 0.248 0.639
N2 0.737 0.752 0.139
N3 0.237 0.248 0.639
N4 0.263 0.752 0.139
N5 0.000 0.124 0.396
N6 0.500 0.876 0.896

* raw total energy: -0.213 hartree per atom
* magnetization: 0.00 μB per cell
* space group: Pmn2_1


[7]
First-principles (PBE-GGA) data for crystalline SmEr2In2Hg2 at its relaxed geometry, as listed in Alexandria.

Unit cell a=4.944 b=4.944 c=9.285 alpha=74.56 beta=74.56 gamma=60.00
Atoms (fractional coordinates):
Sm1 0.000 0.000 0.000
Er1 0.132 0.132 0.603
Er2 0.868 0.868 0.397
In1 0.733 0.733 0.801
In2 0.267 0.267 0.199
Hg1 0.569 0.569 0.293
Hg2 0.431 0.431 0.707

* magnetization: 0.00 μB per cell
* energy of formation: -6.46 kcal/mol of atoms
* space group: R-3m


[8]
First-principles (PBE-GGA) data for crystalline RhSeBr2 at its relaxed geometry, as listed in Alexandria.

Unit cell a=9.741 b=9.741 c=9.741 alpha=21.03 beta=21.03 gamma=21.03
Site moments in Bohr magnetons follow the coordinates.
Atoms (fractional coordinates):
Rh1 0.500 0.500 0.500  -0.13
Se1 0.000 0.000 0.000  0.04
Br1 0.887 0.887 0.887  -0.02
Br2 0.113 0.113 0.113  -0.02

* magnetization: 0.13 μB per cell
* space group: R-3m
* offset from the most stable computed form: 12.66 kcal/mol of atoms


[9]
First-principles (PBE-GGA) data for crystalline RbLiZr2 at its relaxed geometry, as listed in Alexandria.

Unit cell a=5.261 b=5.261 c=5.261 alpha=60.00 beta=60.00 gamma=60.00
Atoms (fractional coordinates):
Rb1 0.500 0.500 0.500
Zr1 0.250 0.250 0.250
Zr2 0.750 0.750 0.750
Li1 0.000 0.000 0.000

* magnetization: 0.00 μB per cell
* energy of formation: 29.69 kcal/mol of atoms
* space group: Fm-3m
* offset from the most stable computed form: 8.71 kcal/mol of atoms


[10]
First-principles (PBE-GGA) data for crystalline TaAlRh2 at its relaxed geometry, as listed in Alexandria.

Unit cell a=6.817 b=6.817 c=5.595 alpha=52.47 beta=52.47 gamma=90.00
Atoms (fractional coordinates):
Rh1 0.618 0.125 0.250
Rh2 0.132 0.625 0.250
Rh3 0.375 0.382 0.750
Rh4 0.875 0.868 0.750
Al1 0.500 0.500 0.000
Al2 0.250 0.750 0.500
Ta1 0.000 0.000 0.000
Ta2 0.750 0.250 0.500

* magnetization: 0.00 μB per cell
* energy of formation: -3.31 kcal/mol of atoms
* space group: I-42d


[11]
First-principles (PBE-GGA) data for crystalline Li2Ni2C at its relaxed geometry, as listed in Alexandria.

Unit cell a=3.690 b=3.690 c=4.099 alpha=90.00 beta=90.00 gamma=90.00
Atoms (fractional coordinates):
Li1 0.500 0.500 0.500
Li2 0.000 0.000 0.500
Ni1 0.000 0.500 0.000
Ni2 0.500 0.000 0.000
C1 0.000 0.000 0.000

* magnetization: 0.00 μB per cell
* energy of formation: -1.35 kcal/mol of atoms
* space group: P4/mmm


[12]
First-principles (PBE-GGA) data for crystalline Ba2MnSi at its relaxed geometry, as listed in Alexandria.

Unit cell a=4.154 b=3.935 c=9.139 alpha=64.45 beta=90.00 gamma=90.00
Site moments in Bohr magnetons follow the coordinates.
Atoms (fractional coordinates):
Ba1 0.000 0.019 0.981  -0.03
Ba2 0.000 0.481 0.519  -0.03
Mn1 0.500 0.250 0.250  4.11
Si1 0.500 0.750 0.750  0.05

* raw total energy: -0.158 hartree per atom
* magnetization: 4.29 μB per cell
* space group: Pmmm


[13]
First-principles (PBE-GGA) data for crystalline InIr at its relaxed geometry, as listed in Alexandria.

Unit cell a=3.552 b=3.552 c=5.748 alpha=90.00 beta=90.00 gamma=90.00
Atoms (fractional coordinates):
In1 0.000 0.000 0.966
In2 0.500 0.500 0.284
Ir1 0.000 0.000 0.472
Ir2 0.500 0.500 0.778

* magnetization: 0.00 μB per cell
* energy of formation: 5.46 kcal/mol of atoms
* space group: P4/nmm


[14]
First-principles (PBE-GGA) data for crystalline AcSmZnPt at its relaxed geometry, as listed in Alexandria.

Unit cell a=4.200 b=4.536 c=5.980 alpha=90.00 beta=110.56 gamma=90.00
Atoms (fractional coordinates):
Ac1 0.145 0.000 0.289
Sm1 0.864 0.500 0.728
Zn1 0.566 0.500 0.133
Pt1 0.425 0.000 0.850

* magnetization: 0.00 μB per cell
* energy of formation: -15.90 kcal/mol of atoms
* space group: Amm2
* offset from the most stable computed form: 0.00 kcal/mol of atoms


[15]
First-principles (PBE-GGA) data for crystalline Ta2CrOs at its relaxed geometry, as listed in Alexandria.

Unit cell a=3.155 b=4.557 c=4.345 alpha=90.00 beta=90.00 gamma=90.00
Site moments in Bohr magnetons follow the coordinates.
Atoms (fractional coordinates):
Cr1 0.500 0.000 0.500  0.59
Os1 0.000 0.500 0.500  -0.02
Ta1 0.000 0.000 0.000  -0.10
Ta2 0.500 0.500 0.000  -0.02

* magnetization: 0.43 μB per cell
* energy of formation: -1.45 kcal/mol of atoms
* space group: Pmmm
* offset from the most stable computed form: 5.69 kcal/mol of atoms


[16]
First-principles (PBE-GGA) data for crystalline RhIBr at its relaxed geometry, as listed in Alexandria.

Unit cell a=9.352 b=3.801 c=12.826 alpha=90.00 beta=132.11 gamma=90.00
Atoms (fractional coordinates):
I1 0.926 0.000 0.551
I2 0.926 0.500 0.051
I3 0.788 0.000 0.741
I4 0.788 0.500 0.241
Rh1 0.154 0.000 0.228
Rh2 0.154 0.500 0.728
Rh3 0.039 0.000 0.396
Rh4 0.039 0.500 0.896
Br1 0.389 0.000 0.872
Br2 0.389 0.500 0.372
Br3 0.267 0.000 0.063
Br4 0.267 0.500 0.563

* magnetization: 0.00 μB per cell
* space group: Cm
* offset from the most stable computed form: 0.63 kcal/mol of atoms


[17]
First-principles (PBE-GGA) data for crystalline Nd2Dy2Y5 at its relaxed geometry, as listed in Alexandria.

Unit cell a=11.800 b=6.822 c=10.142 alpha=109.65 beta=125.56 gamma=90.00
Atoms (fractional coordinates):
Nd1 0.124 0.688 0.255
Nd2 0.876 0.432 0.745
Nd3 0.631 0.188 0.255
Nd4 0.369 0.932 0.745
Dy1 0.000 0.009 0.000
Dy2 0.500 0.509 0.000
Dy3 0.262 0.363 0.500
Dy4 0.738 0.863 0.500
Y1 0.204 0.654 0.894
Y2 0.796 0.760 0.106
Y3 0.190 0.154 0.895
Y4 0.810 0.260 0.105
Y5 0.379 0.029 0.287
Y6 0.621 0.742 0.713
Y7 0.408 0.529 0.287
Y8 0.592 0.242 0.713
Y9 0.000 0.659 0.500
Y10 0.000 0.159 0.500

* magnetization: 0.00 μB per cell
* energy of formation: 5.14 kcal/mol of atoms
* space group: Ima2
* offset from the most stable computed form: 0.00 kcal/mol of atoms


[18]
First-principles (PBE-GGA) data for crystalline FeAg4Au at its relaxed geometry, as listed in Alexandria.

Unit cell a=5.388 b=5.388 c=5.388 alpha=60.00 beta=60.00 gamma=60.00
Site moments in Bohr magnetons follow the coordinates.
Atoms (fractional coordinates):
Fe1 0.000 0.000 0.000  3.18
Ag1 0.625 0.625 0.125  -0.01
Ag2 0.625 0.125 0.625  -0.01
Ag3 0.625 0.625 0.625  -0.01
Ag4 0.125 0.625 0.625  -0.01
Au1 0.250 0.250 0.250  0.00

* magnetization: 3.11 μB per cell
* energy of formation: 10.30 kcal/mol of atoms
* space group: F-43m


[19]
First-principles (PBE-GGA) data for crystalline HgPtCl2 at its relaxed geometry, as listed in Alexandria.

Unit cell a=3.452 b=3.878 c=9.306 alpha=89.76 beta=90.00 gamma=90.00
Atoms (fractional coordinates):
Hg1 0.500 0.250 0.250
Pt1 0.500 0.750 0.750
Cl1 0.000 0.753 0.917
Cl2 0.000 0.747 0.583

* magnetization: 0.00 μB per cell
* space group: P2/m
* offset from the most stable computed form: 0.00 kcal/mol of atoms


[20]
First-principles (PBE-GGA) data for crystalline TiCoP2N at its relaxed geometry, as listed in Alexandria.

Unit cell a=4.215 b=3.525 c=4.215 alpha=90.00 beta=90.00 gamma=90.00
Site moments in Bohr magnetons follow the coordinates.
Atoms (fractional coordinates):
P1 0.000 0.000 0.500  0.04
P2 0.500 0.000 0.000  0.03
N1 0.000 0.000 0.000  0.12
Co1 0.000 0.500 0.000  1.09
Ti1 0.500 0.500 0.500  0.07

* raw total energy: -0.244 hartree per atom
* magnetization: 1.43 μB per cell
* space group: P4/mmm